Record 1
This record from Alexandria via LeMat-Bulk describes crystalline KBr2Cl at its relaxed geometry. The functional is PBE-GGA.

Cell: 4.173 4.178 8.352 Å, 90.00 90.00 90.00°
Element x y z (fractional)
1 Cl 0.500 0.000 0.500
2 Br 0.500 0.500 0.000
3 Br 0.000 0.000 0.000
4 K 0.000 0.500 0.500

## Properties
Fermi-level density of states = 5.5 states/eV/cell
DFT total energy = -2.354 eV per atom
Uncorrected formation energy = -0.78 eV per atom
Relative energy among the computed polymorphs = 177 meV per atom

=====

Record 2
This record from Alexandria via LeMat-Bulk describes crystalline KBr2Cl at its relaxed geometry. The functional is PBE-GGA.

Cell: 5.945 5.945 9.996 Å, 72.70 72.70 90.00°
Element x y z (fractional)
1 Br 0.206 0.625 0.250
2 K 0.750 0.250 0.500
3 K 0.000 0.000 0.000
4 Cl 0.250 0.750 0.500
5 Br 0.544 0.125 0.250
6 Cl 0.500 0.500 0.000
7 Br 0.875 0.794 0.750
8 Br 0.375 0.456 0.750

## Properties
Fermi-level density of states = 11.8 states/eV/cell
DFT total energy = -2.110 eV per atom
Uncorrected formation energy = -0.54 eV per atom
Relative energy among the computed polymorphs = 421 meV per atom

=====

Record 3
This record from Alexandria via LeMat-Bulk describes crystalline K5Br2Cl3 at its relaxed geometry. The functional is PBE-GGA.

Cell: 4.469 8.553 9.897 Å, 79.87 76.95 74.86°
Element x y z (fractional)
1 K 0.000 0.000 0.000
2 K 0.908 0.774 0.411
3 Cl 0.500 0.500 0.500
4 Cl 0.113 0.650 0.123
5 Br 0.675 0.923 0.727
6 K 0.703 0.402 0.192
7 K 0.297 0.598 0.808
8 Br 0.325 0.077 0.273
9 Cl 0.887 0.350 0.877
10 K 0.092 0.226 0.589

## Properties
Fermi-level density of states = 0.0 states/eV/cell
DFT total energy = -3.275 eV per atom
Uncorrected formation energy = -1.84 eV per atom

=====

Record 4
This record from Alexandria via LeMat-Bulk describes crystalline KBrCl2 at its relaxed geometry. The functional is PBE-GGA.

Cell: 7.393 7.393 7.393 Å, 38.21 38.21 38.21°
Last column: magnetic moment on the atom in μB.
Element x y z (fractional)
1 K 0.516 0.516 0.516  0.00
2 Br 0.708 0.708 0.708  0.04
3 Cl 0.043 0.043 0.043  0.03
4 Cl 0.233 0.233 0.233  0.14

## Properties
Fermi-level density of states = 5.1 states/eV/cell
DFT total energy = -2.257 eV per atom
Uncorrected formation energy = -0.64 eV per atom

=====

Record 5
This record from Alexandria via LeMat-Bulk describes crystalline KBrCl3 at its relaxed geometry. The functional is PBE-GGA.

Cell: 5.349 5.349 5.349 Å, 90.00 90.00 90.00°
Element x y z (fractional)
1 Br 0.000 0.000 0.000
2 Cl 0.000 0.500 0.000
3 Cl 0.500 0.000 0.000
4 K 0.500 0.500 0.500
5 Cl 0.000 0.000 0.500

## Properties
Fermi-level density of states = 3.3 states/eV/cell
DFT total energy = -2.316 eV per atom
Uncorrected formation energy = -0.65 eV per atom
Relative energy among the computed polymorphs = 39 meV per atom

=====

Record 6
This record from Alexandria via LeMat-Bulk describes crystalline K7Br5Cl at its relaxed geometry. The functional is PBE-GGA.

Cell: 4.637 8.257 28.545 Å, 90.17 90.00 106.31°
Element x y z (fractional)
1 K 0.638 0.276 0.036
2 Cl 0.761 0.523 0.251
3 K 0.087 0.175 0.605
4 K 0.087 0.173 0.895
5 Br 0.546 0.091 0.141
6 K 0.177 0.354 0.320
7 Br 0.000 0.000 0.500
8 Br 0.456 0.911 0.859
9 K 0.822 0.644 0.819
10 Br 0.727 0.453 0.926
11 K 0.433 0.867 0.250
12 K 0.363 0.726 0.964
13 K 0.363 0.726 0.536
14 K 0.179 0.358 0.181
15 Br 0.727 0.453 0.574
16 Br 0.273 0.547 0.426
17 K 0.567 0.134 0.750
18 Cl 0.239 0.478 0.749
19 K 0.637 0.274 0.464
20 K 0.914 0.829 0.105
21 K 0.913 0.825 0.395
22 Br 0.275 0.549 0.074
23 Br 0.543 0.087 0.359
24 K 0.823 0.646 0.680
25 Br 0.457 0.913 0.641
26 Br 0.001 0.001 0.000

## Properties
Fermi-level density of states = 3.3 states/eV/cell
DFT total energy = -2.958 eV per atom
Uncorrected formation energy = -1.58 eV per atom

=====

Record 7
This record from Alexandria via LeMat-Bulk describes crystalline KBrCl2 at its relaxed geometry. The functional is PBE-GGA.

Cell: 5.484 5.484 5.484 Å, 60.00 60.00 60.00°
Last column: magnetic moment on the atom in μB.
Element x y z (fractional)
1 Br 0.500 0.500 0.500  0.52
2 Cl 0.000 0.000 0.000  0.38
3 Cl 0.250 0.250 0.250  0.65
4 K 0.750 0.750 0.750  0.00

## Properties
Fermi-level density of states = 4.6 states/eV/cell
DFT total energy = -2.114 eV per atom
Uncorrected formation energy = -0.50 eV per atom

=====

Record 8
This record from Alexandria via LeMat-Bulk describes crystalline KBr2Cl at its relaxed geometry. The functional is PBE-GGA.

Cell: 4.451 4.451 8.242 Å, 90.00 90.00 90.00°
Element x y z (fractional)
1 K 0.000 0.000 0.000
2 Br 0.500 0.500 0.355
3 Cl 0.500 0.500 0.000
4 Br 0.500 0.500 0.645

## Properties
DFT total energy = -2.520 eV per atom
Uncorrected formation energy = -0.95 eV per atom
Relative energy among the computed polymorphs = 10 meV per atom

=====

Record 9
This record from Alexandria via LeMat-Bulk describes crystalline K2BrCl at its relaxed geometry. The functional is PBE-GGA.

Cell: 5.571 5.571 5.571 Å, 60.00 60.00 60.00°
Element x y z (fractional)
1 K 0.750 0.750 0.750
2 Br 0.500 0.500 0.500
3 K 0.250 0.250 0.250
4 Cl 0.000 0.000 0.000

## Properties
Fermi-level density of states = 0.0 states/eV/cell
DFT total energy = -3.200 eV per atom
Uncorrected formation energy = -1.77 eV per atom
Relative energy among the computed polymorphs = 79 meV per atom

=====

Record 10
This record from Alexandria via LeMat-Bulk describes crystalline K2BrCl at its relaxed geometry. The functional is PBE-GGA.

Cell: 4.629 4.621 6.542 Å, 90.00 90.00 90.00°
Element x y z (fractional)
1 K 0.000 0.000 0.875
2 Cl 0.500 0.500 0.875
3 K 0.500 0.500 0.375
4 Br 0.000 0.000 0.375

## Properties
Fermi-level density of states = 0.0 states/eV/cell
DFT total energy = -3.275 eV per atom
Uncorrected formation energy = -1.85 eV per atom
Relative energy among the computed polymorphs = 5 meV per atom

=====

Record 11
This record from Alexandria via LeMat-Bulk describes crystalline K3BrCl2 at its relaxed geometry. The functional is PBE-GGA.

Cell: 4.578 4.578 11.281 Å, 90.00 90.00 120.00°
Element x y z (fractional)
1 Cl 0.667 0.333 0.339
2 Cl 0.333 0.667 0.661
3 K 0.333 0.667 0.177
4 Br 0.000 0.000 0.000
5 K 0.667 0.333 0.823
6 K 0.000 0.000 0.500

## Properties
Fermi-level density of states = 0.0 states/eV/cell
DFT total energy = -3.329 eV per atom
Uncorrected formation energy = -1.89 eV per atom
Relative energy among the computed polymorphs = 0 meV per atom

=====

Record 12
This record from Alexandria via LeMat-Bulk describes crystalline K6BrCl4 at its relaxed geometry. The functional is PBE-GGA.

Cell: 4.524 7.951 23.743 Å, 90.00 90.00 106.53°
Element x y z (fractional)
1 Cl 0.596 0.191 0.617
2 K 0.035 0.070 0.336
3 K 0.035 0.070 0.164
4 Br 0.358 0.716 0.750
5 K 0.775 0.550 0.078
6 Cl 0.404 0.809 0.117
7 K 0.775 0.550 0.422
8 K 0.965 0.930 0.836
9 K 0.500 0.000 0.000
10 K 0.500 0.000 0.500
11 Cl 0.136 0.273 0.455
12 Cl 0.864 0.727 0.545
13 K 0.225 0.450 0.922
14 K 0.225 0.450 0.578
15 Cl 0.136 0.273 0.045
16 Br 0.642 0.284 0.250
17 K 0.685 0.370 0.750
18 Cl 0.864 0.727 0.955
19 K 0.315 0.630 0.250
20 Cl 0.596 0.191 0.883
21 Cl 0.404 0.809 0.383
22 K 0.965 0.930 0.664

## Properties
Fermi-level density of states = 2.8 states/eV/cell
DFT total energy = -3.097 eV per atom
Uncorrected formation energy = -1.67 eV per atom

=====

Record 13
This record from Alexandria via LeMat-Bulk describes crystalline KLaBr2Cl at its relaxed geometry. The functional is PBE-GGA.

Cell: 5.957 5.957 5.605 Å, 90.00 90.00 90.00°
Last column: magnetic moment on the atom in μB.
Element x y z (fractional)
1 Cl 0.000 0.000 0.500  0.01
2 K 0.500 0.500 0.500  0.00
3 Br 0.000 0.500 0.000  0.00
4 Br 0.500 0.000 0.000  0.00
5 La 0.000 0.000 0.000  -0.41

## Properties
Fermi-level density of states = 4.3 states/eV/cell
DFT total energy = -3.939 eV per atom
Uncorrected formation energy = -1.70 eV per atom

=====

Record 14
This record from Alexandria via LeMat-Bulk describes crystalline K3Li2Br2Cl4 at its relaxed geometry. The functional is PBE-GGA.

Cell: 4.907 4.907 13.438 Å, 100.52 100.52 90.00°
Last column: magnetic moment on the atom in μB.
Element x y z (fractional)
1 Li 0.601 0.601 0.201  0.00
2 K 0.000 0.000 0.000  0.00
3 Cl 0.082 0.582 0.165  0.07
4 Br 0.299 0.299 0.597  0.18
5 Br 0.701 0.701 0.403  0.18
6 Li 0.399 0.399 0.799  0.00
7 Cl 0.582 0.082 0.165  0.07
8 Cl 0.918 0.418 0.835  0.07
9 K 0.830 0.830 0.659  0.00
10 Cl 0.418 0.918 0.835  0.07
11 K 0.170 0.170 0.341  0.00

## Properties
Fermi-level density of states = 15.8 states/eV/cell
DFT total energy = -3.202 eV per atom
Uncorrected formation energy = -1.58 eV per atom

=====

Record 15
This record from Alexandria via LeMat-Bulk describes crystalline KLiBr2Cl at its relaxed geometry. The functional is PBE-GGA.

Cell: 5.875 5.875 11.331 Å, 90.00 90.00 90.00°
Last column: magnetic moment on the atom in μB.
Element x y z (fractional)
1 K 0.000 0.000 0.000  0.00
2 Cl 0.500 0.500 0.500  0.00
3 Li 0.000 0.000 0.500  0.00
4 Br 0.500 0.000 0.000  0.31
5 Br 0.000 0.500 0.000  0.31

## Properties
Fermi-level density of states = 37.4 states/eV/cell
DFT total energy = -2.147 eV per atom
Uncorrected formation energy = -0.51 eV per atom
Relative energy among the computed polymorphs = 574 meV per atom

=====

Record 16
This record from Alexandria via LeMat-Bulk describes crystalline K3Li2Br4Cl2 at its relaxed geometry. The functional is PBE-GGA.

Cell: 4.988 4.988 14.103 Å, 100.19 100.19 90.00°
Element x y z (fractional)
1 Li 0.384 0.384 0.769
2 K 0.000 0.000 0.000
3 Cl 0.700 0.700 0.400
4 Cl 0.300 0.300 0.600
5 Br 0.915 0.415 0.830
6 Br 0.415 0.915 0.830
7 Li 0.616 0.616 0.231
8 K 0.187 0.187 0.373
9 Br 0.085 0.585 0.170
10 Br 0.585 0.085 0.170
11 K 0.813 0.813 0.627

## Properties
Fermi-level density of states = 6.1 states/eV/cell
DFT total energy = -3.106 eV per atom
Uncorrected formation energy = -1.51 eV per atom

=====

Record 17
This record from Alexandria via LeMat-Bulk describes crystalline KLi2BrCl2 at its relaxed geometry. The functional is PBE-GGA.

Cell: 5.978 6.633 9.395 Å, 108.62 90.00 90.00°
Element x y z (fractional)
1 Li 0.495 0.880 0.824
2 Li 0.995 0.120 0.176
3 Cl 0.250 0.091 0.354
4 Br 0.250 0.190 0.975
5 K 0.250 0.640 0.385
6 Li 0.505 0.120 0.176
7 Br 0.750 0.810 0.025
8 K 0.750 0.360 0.615
9 Cl 0.250 0.602 0.710
10 Cl 0.750 0.398 0.290
11 Cl 0.750 0.909 0.646
12 Li 0.005 0.880 0.824

## Properties
Fermi-level density of states = 0.0 states/eV/cell
DFT total energy = -3.450 eV per atom
Uncorrected formation energy = -1.73 eV per atom

=====

Record 18
This record from Alexandria via LeMat-Bulk describes crystalline K2LiBrCl2 at its relaxed geometry. The functional is PBE-GGA.

Cell: 4.838 4.838 7.754 Å, 90.00 90.00 90.00°
Element x y z (fractional)
1 K 0.500 0.500 0.738
2 Cl 0.000 0.500 0.000
3 Br 0.000 0.000 0.500
4 Li 0.000 0.000 0.000
5 Cl 0.500 0.000 0.000
6 K 0.500 0.500 0.262

## Properties
Fermi-level density of states = 0.0 states/eV/cell
DFT total energy = -3.308 eV per atom
Uncorrected formation energy = -1.73 eV per atom

=====

Record 19
This record from Alexandria via LeMat-Bulk describes crystalline KLi2Br2Cl at its relaxed geometry. The functional is PBE-GGA.

Cell: 5.925 7.154 9.415 Å, 107.35 90.00 90.00°
Element x y z (fractional)
1 K 0.750 0.329 0.593
2 Br 0.250 0.573 0.738
3 Li 0.498 0.866 0.841
4 Cl 0.250 0.128 0.959
5 Li 0.502 0.134 0.159
6 Br 0.750 0.887 0.633
7 Cl 0.750 0.872 0.041
8 Li 0.998 0.134 0.159
9 Br 0.750 0.427 0.262
10 Li 0.002 0.866 0.841
11 K 0.250 0.671 0.407
12 Br 0.250 0.113 0.367

## Properties
Fermi-level density of states = 0.0 states/eV/cell
DFT total energy = -3.346 eV per atom
Uncorrected formation energy = -1.66 eV per atom

=====

Record 20
This record from Alexandria via LeMat-Bulk describes crystalline KLiBr2Cl at its relaxed geometry. The functional is PBE-GGA.

Cell: 4.773 9.813 4.773 Å, 90.00 90.00 90.00°
Last column: magnetic moment on the atom in μB.
Element x y z (fractional)
1 Li 0.000 0.000 0.000  0.00
2 Br 0.500 0.000 0.000  0.13
3 Br 0.000 0.000 0.500  0.12
4 Cl 0.500 0.500 0.500  0.04
5 K 0.000 0.500 0.000  0.00

## Properties
Fermi-level density of states = 5.4 states/eV/cell
DFT total energy = -2.721 eV per atom
Uncorrected formation energy = -1.08 eV per atom
Relative energy among the computed polymorphs = 0 meV per atom